Record 1
# Na2GaTeO6 | Alexandria via LeMat-Bulk | GGA-PBE | relaxed
# Crystal system   tetragonal
# Total energy   -5.07 eV/atom
# SG   P4mm
data_Na2GaTeO6
_chemical_formula_sum 'Na2 Ga1 Te1 O6'
_space_group_name_H-M_alt 'P 1'
_space_group_IT_number 1
_cell_length_a 5.1935
_cell_length_b 5.1509
_cell_length_c 5.1509
_cell_angle_alpha 90.00
_cell_angle_beta 90.00
_cell_angle_gamma 90.00
loop_
_space_group_symop_operation_xyz
'x,y,z'
loop_
_atom_site_label
_atom_site_type_symbol
_atom_site_fract_x
_atom_site_fract_y
_atom_site_fract_z
_atom_site_occupancy
Na1 Na 0.0342 0.5000 0.0000 1
Na2 Na 0.0342 0.0000 0.5000 1
Ga1 Ga 0.5557 0.0000 0.0000 1
Te1 Te 0.5812 0.5000 0.5000 1
O1 O 0.7019 0.2517 0.2517 1
O2 O 0.7019 0.2517 0.7483 1
O3 O 0.2257 0.5000 0.5000 1
O4 O 0.2080 0.0000 0.0000 1
O5 O 0.7019 0.7483 0.7483 1
O6 O 0.7019 0.7483 0.2517 1


Record 2
# NaGaTeO5 | Alexandria via LeMat-Bulk | GGA-PBE | relaxed
# Crystal system   monoclinic
# Total energy   -5.50 eV/atom
# SG   C2/c
data_NaGaTeO5
_chemical_formula_sum 'Na2 Ga2 Te2 O10'
_space_group_name_H-M_alt 'P 1'
_space_group_IT_number 1
_cell_length_a 5.6868
_cell_length_b 5.6868
_cell_length_c 7.3854
_cell_angle_alpha 104.87
_cell_angle_beta 104.87
_cell_angle_gamma 106.57
loop_
_space_group_symop_operation_xyz
'x,y,z'
loop_
_atom_site_label
_atom_site_type_symbol
_atom_site_fract_x
_atom_site_fract_y
_atom_site_fract_z
_atom_site_occupancy
Na1 Na 0.3352 0.6648 0.2500 1
Na2 Na 0.6648 0.3352 0.7500 1
Ga1 Ga 0.6918 0.3082 0.2500 1
Ga2 Ga 0.3082 0.6918 0.7500 1
Te1 Te 0.0000 0.0000 0.5000 1
Te2 Te 0.0000 0.0000 0.0000 1
O1 O 0.0778 0.9222 0.2500 1
O2 O 0.9222 0.0778 0.7500 1
O3 O 0.9166 0.3023 0.1074 1
O4 O 0.0834 0.6977 0.8926 1
O5 O 0.6977 0.0834 0.3926 1
O6 O 0.3023 0.9166 0.6074 1
O7 O 0.7608 0.6419 0.4226 1
O8 O 0.2392 0.3581 0.5774 1
O9 O 0.3581 0.2392 0.0774 1
O10 O 0.6419 0.7608 0.9226 1


Record 3
# NaGaTe2O8 | Alexandria via LeMat-Bulk | GGA-PBE | relaxed
# Crystal system   monoclinic
# Total energy   -5.34 eV/atom
# SG   P2/m
data_NaGaTe2O8
_chemical_formula_sum 'Na1 Ga1 Te2 O8'
_space_group_name_H-M_alt 'P 1'
_space_group_IT_number 1
_cell_length_a 4.8036
_cell_length_b 4.7998
_cell_length_c 6.2544
_cell_angle_alpha 90.00
_cell_angle_beta 90.00
_cell_angle_gamma 83.91
loop_
_space_group_symop_operation_xyz
'x,y,z'
loop_
_atom_site_label
_atom_site_type_symbol
_atom_site_fract_x
_atom_site_fract_y
_atom_site_fract_z
_atom_site_occupancy
Na1 Na 0.0000 0.0000 0.5000 1
Ga1 Ga 0.0000 0.0000 0.0000 1
Te1 Te 0.5000 0.5000 0.7518 1
Te2 Te 0.5000 0.5000 0.2482 1
O1 O 0.2053 0.7929 0.2303 1
O2 O 0.6877 0.6896 0.0000 1
O3 O 0.7947 0.2071 0.2303 1
O4 O 0.7947 0.2071 0.7697 1
O5 O 0.3123 0.3104 0.0000 1
O6 O 0.2053 0.7929 0.7697 1
O7 O 0.6745 0.6762 0.5000 1
O8 O 0.3255 0.3238 0.5000 1


Record 4
# NaGaTeO4 | Alexandria via LeMat-Bulk | GGA-PBE | relaxed
# Crystal system   orthorhombic
# Total energy   -5.32 eV/atom
# SG   Cmcm
data_NaGaTeO4
_chemical_formula_sum 'Na2 Ga2 Te2 O8'
_space_group_name_H-M_alt 'P 1'
_space_group_IT_number 1
_cell_length_a 6.0991
_cell_length_b 6.0991
_cell_length_c 7.0490
_cell_angle_alpha 90.00
_cell_angle_beta 90.00
_cell_angle_gamma 122.03
loop_
_space_group_symop_operation_xyz
'x,y,z'
loop_
_atom_site_label
_atom_site_type_symbol
_atom_site_fract_x
_atom_site_fract_y
_atom_site_fract_z
_atom_site_occupancy
Na1 Na 0.5000 0.5000 0.5000 1
Na2 Na 0.5000 0.5000 0.0000 1
Ga1 Ga 0.0955 0.9045 0.2500 1
Ga2 Ga 0.9045 0.0955 0.7500 1
Te1 Te 0.8256 0.1744 0.2500 1
Te2 Te 0.1744 0.8256 0.7500 1
O1 O 0.2627 0.1848 0.7500 1
O2 O 0.8152 0.7373 0.7500 1
O3 O 0.8100 0.1900 0.9623 1
O4 O 0.8100 0.1900 0.5377 1
O5 O 0.1900 0.8100 0.0377 1
O6 O 0.1900 0.8100 0.4623 1
O7 O 0.7373 0.8152 0.2500 1
O8 O 0.1848 0.2627 0.2500 1


Which formula does entry 2 have?
NaGaTeO5